AgPtCl: single point on PBEsol structure, meta-GGA SCAN.

Summary:
formation energy without anion corrections = 570 meV per atom

Cell lengths 6.177, 6.177, 6.177 Å; angles 90.00, 90.00, 90.00 degrees
Space group F-43m (No. 216)
Asymmetric unit:
Ag1 0.000 0.000 0.000 [4 per cell]
Pt1 0.250 0.250 0.250 [4 per cell]
Cl1 0.000 0.000 0.500 [4 per cell]

=====

Li4B7ClO12: single point on PBEsol structure, meta-GGA SCAN.

Summary:
formation energy without anion corrections = -2596 meV per atom

Cell lengths 8.5785, 8.5785, 20.9683 Å; angles 90.00, 90.00, 120.00 degrees
Space group R3c (No. 161, hexagonal axes)
Asymmetric unit:
Li1 0.0000 0.0000 0.0000 [6 per cell]
Li2 0.0456 0.5224 0.3574 [18 per cell]
B1 0.0000 0.0000 0.2674 [6 per cell]
B2 0.0015 0.4959 0.1141 [18 per cell]
B3 0.1964 0.3922 0.0638 [18 per cell]
Cl1 0.0000 0.0000 0.1188 [6 per cell]
O1 0.0036 0.4230 0.1779 [18 per cell]
O2 0.0229 0.2958 0.3991 [18 per cell]
O3 0.1474 0.4590 0.6156 [18 per cell]
O4 0.1647 0.0104 0.2663 [18 per cell]

=====

As2IrCCl: single point on PBEsol structure, meta-GGA SCAN.

Summary:
formation energy without anion corrections = 1056 meV per atom

Cell lengths 4.702, 4.702, 3.814 Å; angles 90.00, 90.00, 90.00 degrees
Space group P4/mmm (No. 123)
Asymmetric unit:
As1 0.000 0.500 0.000 [2 per cell]
Ir1 0.000 0.000 0.500 [1 per cell]
C1 0.000 0.000 0.000 [1 per cell]
Cl1 0.500 0.500 0.500 [1 per cell]